# Ti5Be2Sn

A relaxed Ti5Be2Sn crystal (GGA-PBE, Alexandria via LeMat-Bulk).

Structure (extended XYZ):
```
16
Lattice="-3.2997 3.2997 5.9387 3.2997 -3.2997 5.9387 3.2997 3.2997 -5.9387" Properties=species:S:1:pos:R:3 pbc="T T T"
Ti 0.0000 0.0000 0.0000
Ti 4.3710 1.0714 -1.6115
Ti 1.0714 2.2283 -1.6115
Ti 4.3710 1.0714 1.6115
Ti 1.0714 2.2283 1.6115
Ti 0.0000 0.0000 5.9387
Ti 2.2283 1.0714 4.3272
Ti -1.0714 2.2283 4.3272
Ti 2.2283 1.0714 7.5502
Ti -1.0714 2.2283 7.5502
Be 2.4766 0.8231 0.0000
Be 2.4766 -0.8231 5.9387
Be 0.8231 4.1227 0.0000
Be 0.8231 2.4766 5.9387
Sn 0.0000 0.0000 2.9693
Sn 0.0000 0.0000 8.9080
```

calculated formation energy	-0.12	eV/atom
SG	I4/mcm (140)
E_tot	-6.482	eV per atom


# TlSi2Te2

A relaxed TlSi2Te2 crystal (GGA-PBE, Alexandria via LeMat-Bulk).

Structure (extended XYZ):
```
5
Lattice="-2.7260 2.7260 4.4990 2.7260 -2.7260 4.4990 2.7260 2.7260 -4.4990" Properties=species:S:1:pos:R:3 pbc="T T T"
Tl 0.0000 0.0000 0.0000
Si 0.0000 0.0000 3.2160
Si 0.0000 0.0000 5.7819
Te 2.7260 0.0000 2.2495
Te 0.0000 2.7260 2.2495
```

ΔE to the lowest computed polymorph	0	meV per atom
SG	I4/mmm (139)
E_tot	-3.689	eV per atom


# ScTa3Ni

A relaxed ScTa3Ni crystal (GGA-PBE, Alexandria via LeMat-Bulk).

Structure (extended XYZ):
```
5
Lattice="4.6882 0.0000 0.0000 0.0000 4.6882 0.0000 0.0000 0.0000 4.6882" Properties=species:S:1:pos:R:3 pbc="T T T"
Sc 0.0000 0.0000 0.0000
Ta 0.0000 0.0000 2.3441
Ta 0.0000 2.3441 0.0000
Ta 2.3441 0.0000 0.0000
Ni 2.3441 2.3441 2.3441
```

ΔE to the lowest computed polymorph	1422	meV per atom
calculated formation energy	2.13	eV/atom
SG	Pm-3m (221)
E_tot	-7.402	eV per atom